Computed, not measured: crystalline Rb4MnCu3Cl12 at its relaxed geometry at the GGA-PBE level of DFT.

a b c (Å): 9.8737 9.8737 9.8737
angles (deg): 90.00 90.00 90.00
Closest atoms and distances in Å follow each position.
Space group Im-3m (No. 229)
Unique sites:
Rb (0.2500, 0.2500, 0.2500) [8 per cell]  12 Cl 3.49
Mn (0.0000, 0.0000, 0.0000) [2 per cell]  6 Cl 2.37
Cu (0.0000, 0.0000, 0.5000) [6 per cell]  6 Cl 2.47-2.57
Cl (0.0000, 0.0000, 0.2396) [12 per cell]  1 Mn 2.37, 1 Cu 2.57
Cl (0.0000, 0.2500, 0.5000) [12 per cell]  2 Cu 2.47

## Properties
N(E_F) in states/eV/atom: 0.23
E_tot in eV per atom: -3.574

***

Computed, not measured: crystalline Ba2Li15Ag2 at its relaxed geometry at the GGA-PBE level of DFT.

a b c (Å): 10.2086 10.2086 14.9697
angles (deg): 90.00 90.00 120.00
Closest atoms and distances in Å follow each position.
Space group R-3m (No. 166, hexagonal axes)
Unique sites:
Ba (0.0000, 0.0000, 0.1534) [6 per cell]  18 Li 3.68-4.05, 1 Ag 3.73
Li (0.0000, 0.2657, 0.5000) [18 per cell]  6 Li 2.71-3.03
Li (0.0000, 0.5000, 0.0000) [9 per cell]  8 Li 2.84-2.90, 2 Ag 3.12
Li (0.0276, 0.5138, 0.3461) [18 per cell]  4 Li 2.84-3.03, 1 Ag 2.97
Ag (0.0000, 0.0000, 0.4027) [6 per cell]  1 Ag 2.91, 12 Li 2.97-3.12

## Properties
N(E_F) in states/eV/atom: 0.48
E_tot in eV per atom: -2.037
ΔE_f in meV/atom: -24

***

Computed, not measured: crystalline ThGaHg at its relaxed geometry at the GGA-PBE level of DFT.

a b c (Å): 3.4575 3.4575 25.9120
angles (deg): 90.00 90.00 90.00
Closest atoms and distances in Å follow each position.
Space group I4/mmm (No. 139)
Unique sites:
Th (0.0000, 0.0000, 0.1432) [4 per cell]  5 Ga 3.24-3.42, 4 Hg 3.36, 4 Th 3.46
Ga (0.0000, 0.0000, 0.2751) [4 per cell]  4 Ga 2.77
Hg (0.0000, 0.0000, 0.4455) [4 per cell]  1 Hg 2.82

## Properties
N(E_F) in states/eV/atom: 0.82
Polymorph energy (0 for the lowest one) in meV per atom: 194
E_tot in eV per atom: -3.759
ΔE_f in meV/atom: -176

***

The highest N(E_F) belongs to which entry? ThGaHg

***

Copy entry 2 word for word.
Computed, not measured: crystalline Ba2Li15Ag2 at its relaxed geometry at the GGA-PBE level of DFT.

a b c (Å): 10.2086 10.2086 14.9697
angles (deg): 90.00 90.00 120.00
Closest atoms and distances in Å follow each position.
Space group R-3m (No. 166, hexagonal axes)
Unique sites:
Ba (0.0000, 0.0000, 0.1534) [6 per cell]  18 Li 3.68-4.05, 1 Ag 3.73
Li (0.0000, 0.2657, 0.5000) [18 per cell]  6 Li 2.71-3.03
Li (0.0000, 0.5000, 0.0000) [9 per cell]  8 Li 2.84-2.90, 2 Ag 3.12
Li (0.0276, 0.5138, 0.3461) [18 per cell]  4 Li 2.84-3.03, 1 Ag 2.97
Ag (0.0000, 0.0000, 0.4027) [6 per cell]  1 Ag 2.91, 12 Li 2.97-3.12

## Properties
N(E_F) in states/eV/atom: 0.48
E_tot in eV per atom: -2.037
ΔE_f in meV/atom: -24

***

Which of these has the lowest E_tot? ThGaHg